Record 1
Entry from Alexandria: NbRePd3 after structural relaxation (GGA-PBEsol).

- ΔE_f (eV/f.u.) = 7.7

Cell and atoms, written as POSCAR:
```
NbRePd3
1.0
4.675 0.000 0.000
0.000 4.675 0.000
0.000 0.000 4.675
Nb Re Pd
1 1 3
Direct
0.000 0.000 0.000
0.500 0.500 0.500
0.000 0.500 0.500
0.500 0.000 0.500
0.500 0.500 0.000
```


Record 2
Entry from Alexandria: Nb2SbPdRu after structural relaxation (GGA-PBEsol).

- formation energy from raw total energies (meV per atom) = 1737

Cell and atoms, written as POSCAR:
```
Nb2SbPdRu
1.0
4.977 0.000 0.000
0.000 4.977 0.000
0.000 0.000 4.609
Nb Sb Pd Ru
2 1 1 1
Direct
0.000 0.500 0.000
0.500 0.000 0.000
0.000 0.000 0.000
0.000 0.000 0.500
0.500 0.500 0.500
```


Record 3
Entry from Alexandria: NbPdS2 after structural relaxation (GGA-PBEsol).

- formation energy from raw total energies (meV per atom) = -442

Cell and atoms, written as POSCAR:
```
NbPdS2
1.0
6.158 0.000 0.000
0.000 6.158 0.000
0.000 0.000 6.158
Nb Pd S
4 4 8
Direct
0.000 0.000 0.000
0.000 0.500 0.500
0.500 0.000 0.500
0.500 0.500 0.000
0.000 0.000 0.500
0.000 0.500 0.000
0.500 0.000 0.000
0.500 0.500 0.500
0.250 0.250 0.250
0.250 0.250 0.750
0.250 0.750 0.250
0.250 0.750 0.750
0.750 0.250 0.250
0.750 0.250 0.750
0.750 0.750 0.250
0.750 0.750 0.750
```